Entry A
Compound: CdIrSN2
Source: the Alexandria database
Functional: PBE
Structure: optimized geometry

## Properties
Space group   No. 123
Spin magnetization   0.955 μB per atom

Unit cell a=3.9903 b=3.9903 c=5.6837 alpha=90.00 beta=90.00 gamma=90.00
With the nearest neighbours (Å) after each atom.
Element x y z (fractional)
Cd 0.0000 0.0000 0.0000  4 N 2.00
Ir 0.5000 0.5000 0.5000  4 S 2.82
S 0.0000 0.0000 0.5000  4 Ir 2.82, 2 Cd 2.84
N 0.0000 0.5000 0.0000  2 Cd 2.00
N 0.5000 0.0000 0.0000  2 Cd 2.00



Entry B
Compound: CdIrSN2
Source: the Alexandria database
Functional: PBE
Structure: optimized geometry

## Properties
Space group   No. 123
Spin magnetization   0.000 μB per atom

Unit cell a=3.7889 b=3.7889 c=5.5347 alpha=90.00 beta=90.00 gamma=90.00
With the nearest neighbours (Å) after each atom.
Element x y z (fractional)
Cd 0.0000 0.0000 0.0000  4 S 2.68
Ir 0.5000 0.5000 0.5000  4 N 1.89
S 0.5000 0.5000 0.0000  4 Cd 2.68, 2 Ir 2.77
N 0.0000 0.5000 0.5000  2 Ir 1.89
N 0.5000 0.0000 0.5000  2 Ir 1.89



Energies relative to the most stable structure are entry A 173.6; entry B 0.0, reported in kJ/mol of atoms.



Entry A
Compound: CdIrSeN2
Source: the Alexandria database
Functional: PBE
Structure: optimized geometry

## Properties
Space group   No. 123
Spin magnetization   0.567 μB per atom

Unit cell a=3.9879 b=3.9879 c=4.8856 alpha=90.00 beta=90.00 gamma=90.00
With the nearest neighbours (Å) after each atom.
Element x y z (fractional)
Cd 0.0000 0.0000 0.0000  4 Ir 2.82, 8 N 3.15
Ir 0.5000 0.5000 0.0000  2 Se 2.44
Se 0.5000 0.5000 0.5000  4 N 1.99
N 0.0000 0.5000 0.5000  2 Se 1.99
N 0.5000 0.0000 0.5000  2 Se 1.99



Entry B
Compound: CdIrSeN2
Source: the Alexandria database
Functional: PBE
Structure: optimized geometry

## Properties
Space group   No. 123
Spin magnetization   0.000 μB per atom

Unit cell a=3.8337 b=3.8337 c=5.6527 alpha=90.00 beta=90.00 gamma=90.00
With the nearest neighbours (Å) after each atom.
Element x y z (fractional)
Cd 0.0000 0.0000 0.0000  4 Se 2.71
Ir 0.5000 0.5000 0.5000  4 N 1.92
Se 0.5000 0.5000 0.0000  4 Cd 2.71, 2 Ir 2.83
N 0.0000 0.5000 0.5000  2 Ir 1.92
N 0.5000 0.0000 0.5000  2 Ir 1.92



Entry C
Compound: CdIrSeN2
Source: the Alexandria database
Functional: PBE
Structure: optimized geometry

## Properties
Space group   No. 123
Spin magnetization   0.929 μB per atom

Unit cell a=4.0277 b=4.0277 c=6.0353 alpha=90.00 beta=90.00 gamma=90.00
With the nearest neighbours (Å) after each atom.
Element x y z (fractional)
Cd 0.0000 0.0000 0.0000  4 N 2.01
Ir 0.5000 0.5000 0.5000  4 Se 2.85
Se 0.0000 0.0000 0.5000  4 Ir 2.85, 2 Cd 3.02
N 0.0000 0.5000 0.0000  2 Cd 2.01
N 0.5000 0.0000 0.0000  2 Cd 2.01



Energies relative to the most stable structure are entry A 103.2; entry B 0.0; entry C 160.8, reported in kJ/mol of atoms.



Entry A
Compound: CdIrSe2N
Source: the Alexandria database
Functional: PBE
Structure: optimized geometry

## Properties
Space group   No. 123
Spin magnetization   0.000 μB per atom

Unit cell a=5.2349 b=5.2349 c=3.6592 alpha=90.00 beta=90.00 gamma=90.00
With the nearest neighbours (Å) after each atom.
Element x y z (fractional)
Cd 0.0000 0.0000 0.0000  8 Se 3.19
Ir 0.5000 0.5000 0.5000  2 N 1.83
Se 0.0000 0.5000 0.5000  2 Ir 2.62
Se 0.5000 0.0000 0.5000  2 Ir 2.62
N 0.5000 0.5000 0.0000  2 Ir 1.83



Entry B
Compound: CdIrSe2N
Source: the Alexandria database
Functional: PBE
Structure: optimized geometry

## Properties
Space group   No. 123
Spin magnetization   0.347 μB per atom

Unit cell a=5.1860 b=5.1860 c=3.9635 alpha=90.00 beta=90.00 gamma=90.00
With the nearest neighbours (Å) after each atom.
Element x y z (fractional)
Cd 0.0000 0.0000 0.0000  2 N 1.98
Ir 0.5000 0.5000 0.5000  8 Se 3.26
Se 0.0000 0.5000 0.0000  2 Cd 2.59
Se 0.5000 0.0000 0.0000  2 Cd 2.59
N 0.0000 0.0000 0.5000  2 Cd 1.98



Energies relative to the most stable structure are entry A 0.0; entry B 147.7, reported in kJ/mol of atoms.



Entry A
Compound: CdTeIrN2
Source: the Alexandria database
Functional: PBE
Structure: optimized geometry

## Properties
Space group   No. 123
Spin magnetization   0.000 μB per atom

Unit cell a=3.9122 b=3.9122 c=5.8771 alpha=90.00 beta=90.00 gamma=90.00
With the nearest neighbours (Å) after each atom.
Element x y z (fractional)
Cd 0.0000 0.0000 0.0000  4 Te 2.77
Te 0.5000 0.5000 0.0000  4 Cd 2.77, 2 Ir 2.94
Ir 0.5000 0.5000 0.5000  4 N 1.96
N 0.0000 0.5000 0.5000  2 Ir 1.96
N 0.5000 0.0000 0.5000  2 Ir 1.96



Entry B
Compound: CdTeIrN2
Source: the Alexandria database
Functional: PBE
Structure: optimized geometry

## Properties
Space group   No. 123
Spin magnetization   0.750 μB per atom

Unit cell a=4.0578 b=4.0578 c=6.5449 alpha=90.00 beta=90.00 gamma=90.00
With the nearest neighbours (Å) after each atom.
Element x y z (fractional)
Cd 0.0000 0.0000 0.0000  4 N 2.03
Te 0.0000 0.0000 0.5000  4 Ir 2.87
Ir 0.5000 0.5000 0.5000  4 Te 2.87
N 0.0000 0.5000 0.0000  2 Cd 2.03
N 0.5000 0.0000 0.0000  2 Cd 2.03



Energies relative to the most stable structure are entry A 0.0; entry B 131.3, reported in kJ/mol of atoms.



Entry A
Compound: CdTe2IrN
Source: the Alexandria database
Functional: PBE
Structure: optimized geometry

## Properties
Space group   No. 123
Spin magnetization   0.312 μB per atom

Unit cell a=5.5290 b=5.5290 c=3.9161 alpha=90.00 beta=90.00 gamma=90.00
With the nearest neighbours (Å) after each atom.
Element x y z (fractional)
Cd 0.0000 0.0000 0.0000  2 N 1.96
Te 0.0000 0.5000 0.0000  2 Cd 2.76
Te 0.5000 0.0000 0.0000  2 Cd 2.76
Ir 0.5000 0.5000 0.5000  8 Te 3.39
N 0.0000 0.0000 0.5000  2 Cd 1.96



Entry B
Compound: CdTe2IrN
Source: the Alexandria database
Functional: PBE
Structure: optimized geometry

## Properties
Space group   No. 123
Spin magnetization   0.000 μB per atom

Unit cell a=5.6353 b=5.6353 c=3.6619 alpha=90.00 beta=90.00 gamma=90.00
With the nearest neighbours (Å) after each atom.
Element x y z (fractional)
Cd 0.0000 0.0000 0.0000  8 Te 3.36, 2 Cd 3.66
Te 0.0000 0.5000 0.5000  2 Ir 2.82
Te 0.5000 0.0000 0.5000  2 Ir 2.82
Ir 0.5000 0.5000 0.5000  2 N 1.83
N 0.5000 0.5000 0.0000  2 Ir 1.83



Energies relative to the most stable structure are entry A 137.9; entry B 0.0, reported in kJ/mol of atoms.



Entry A
Compound: NaCd3Ir
Source: the Alexandria database
Functional: PBE
Structure: optimized geometry

## Properties
Space group   No. 221
Spin magnetization   0.000 μB per atom

Unit cell a=4.8959 b=4.8959 c=4.8959 alpha=90.00 beta=90.00 gamma=90.00
With the nearest neighbours (Å) after each atom.
Element x y z (fractional)
Na 0.0000 0.0000 0.0000  6 Cd 2.45
Cd 0.0000 0.0000 0.5000  2 Na 2.45
Cd 0.0000 0.5000 0.0000  2 Na 2.45
Cd 0.5000 0.0000 0.0000  2 Na 2.45
Ir 0.5000 0.5000 0.5000  12 Cd 3.46



Entry B
Compound: NaCd3Ir
Source: the Alexandria database
Functional: PBE
Structure: optimized geometry

## Properties
Space group   No. 221
Spin magnetization   0.000 μB per atom

Unit cell a=5.2309 b=5.2309 c=5.2309 alpha=90.00 beta=90.00 gamma=90.00
With the nearest neighbours (Å) after each atom.
Element x y z (fractional)
Na 0.0000 0.0000 0.0000  12 Cd 3.70
Cd 0.0000 0.5000 0.5000  2 Ir 2.62
Cd 0.5000 0.0000 0.5000  2 Ir 2.62
Cd 0.5000 0.5000 0.0000  2 Ir 2.62
Ir 0.5000 0.5000 0.5000  6 Cd 2.62



Energies relative to the most stable structure are entry A 118.5; entry B 0.0, reported in kJ/mol of atoms.